Entry 1:
A plane-wave DFT calculation with PBE-GGA was carried out for an optimized crystal structure of MnIrW2.

Its symmetry is I4/mmm (139). For the energy above the most stable polymorph in this dataset, the calculation gives 1 meV/atom. The formation energy is -0.04 eV per atom. As for the total energy: -0.811 Ry/atom.

Cell: 3.8629 3.8629 7.8690 Å, 90.00 90.00 90.00°
Last column: nearest neighbours and their distance in Å.
Positions (direct):
Mn 0.0000 0.0000 0.0000  4 Ir 2.73, 8 W 2.76
Mn 0.5000 0.5000 0.5000  4 Ir 2.73, 8 W 2.76
Ir 0.0000 0.0000 0.5000  4 Mn 2.73, 8 W 2.76
Ir 0.5000 0.5000 0.0000  4 Mn 2.73, 8 W 2.76
W 0.0000 0.5000 0.2500  4 W 2.73, 4 Mn 2.76, 4 Ir 2.76
W 0.0000 0.5000 0.7500  4 W 2.73, 4 Ir 2.76, 4 Mn 2.76
W 0.5000 0.0000 0.2500  4 W 2.73, 4 Mn 2.76, 4 Ir 2.76
W 0.5000 0.0000 0.7500  4 W 2.73, 4 Ir 2.76, 4 Mn 2.76

***

Entry 2:
A plane-wave DFT calculation with PBE-GGA was carried out for an optimized crystal structure of P2RhCl.

Its symmetry is Immm (71). For the energy above the most stable polymorph in this dataset, the calculation gives 485 meV/atom. As for the total energy: -0.345 Ry/atom.

Cell: 2.8832 4.3974 10.2898 Å, 90.00 90.00 90.00°
Last column: nearest neighbours and their distance in Å.
Positions (direct):
P 0.0000 0.0000 0.1985  2 Rh 2.50
P 0.0000 0.0000 0.8015  2 Rh 2.50
P 0.5000 0.5000 0.3015  2 Rh 2.50
P 0.5000 0.5000 0.6985  2 Rh 2.50
Rh 0.0000 0.5000 0.5000  4 P 2.50, 4 Cl 2.63
Rh 0.5000 0.0000 0.0000  4 P 2.50, 4 Cl 2.63
Cl 0.0000 0.5000 0.0000  4 Rh 2.63, 2 Cl 2.88
Cl 0.5000 0.0000 0.5000  4 Rh 2.63, 2 Cl 2.88